Ac2YGe4Ir3, relaxed, DFT GGA-PBE; SG = No. 115; density of states at the Fermi level = 0.540 states/eV per atom; DFT formation energy = -720 meV per atom
1.0
4.411 0.000 0.000
0.000 4.411 0.000
0.000 0.000 11.143
Ac Ge Ir Y
2 4 3 1
Direct
0.500 0.000 0.230 Ac
0.000 0.500 0.770 Ac
0.000 0.500 0.338 Ge
0.000 0.000 0.000 Ge
0.500 0.500 0.000 Ge
0.500 0.000 0.662 Ge
0.000 0.000 0.500 Ir
0.500 0.000 0.887 Ir
0.000 0.500 0.113 Ir
0.500 0.500 0.500 Y

=====

Al2CrP2, relaxed, DFT GGA-PBE; ΔE to the lowest computed polymorph = 0.000 eV per atom; SG = No. 127; density of states at the Fermi level = 0.597 states/eV per atom; DFT formation energy = 194 meV per atom
1.0
6.827 0.000 0.000
0.000 6.827 0.000
0.000 0.000 3.339
Al Cr P
4 2 4
Direct
0.633 0.133 0.000 Al
0.367 0.867 0.000 Al
0.133 0.367 0.000 Al
0.867 0.633 0.000 Al
0.500 0.500 0.000 Cr
0.000 0.000 0.000 Cr
0.678 0.822 0.500 P
0.822 0.322 0.500 P
0.322 0.178 0.500 P
0.178 0.678 0.500 P